Crystalline BeZnSi2 at its relaxed geometry. Source: Alexandria, functional PBE-GGA.

Unit cell a=4.2298 b=4.2298 c=5.4773 alpha=99.14 beta=99.14 gamma=36.81
Atoms (fractional coordinates):
Be (0.0000, 0.0000, 0.0000)
Zn (0.6791, 0.6791, 0.3604)
Si (0.2684, 0.2684, 0.9424)
Si (0.4436, 0.4436, 0.6070)

Computed properties:
The relative energy among the computed polymorphs is 86.7 meV per atom. For the uncorrected formation energy, the calculation gives 0.369 eV/atom.